Below is a geometry-optimized NbFe2CoC structure, with properties calculated at the PBE-GGA level.

Results
* symmetry: P4/mmm
* ΔE_f: -0.2 eV per formula unit

extended XYZ file:
```
5
Lattice="3.801 0.000 0.000 0.000 3.801 0.000 0.000 0.000 3.776" Properties=species:S:1:pos:R:3 pbc="T T T"
Co 0.000 0.000 1.888
Fe 0.000 1.900 0.000
Fe 1.900 0.000 0.000
Nb 1.900 1.900 1.888
C 0.000 0.000 0.000
```